Er3Si6Ni20: relaxed, GGA-PBE.

Calculated values
magnetic moment: 0.00 μB/cell
uncorrected formation energy: -0.51 eV per atom
E: -0.2238 Ha/atom

Cell lengths 11.4020, 11.4020, 11.4020 Å; angles 90.00, 90.00, 90.00 degrees
With the nearest neighbours (Å) after each atom.
Space group Fm-3m (No. 225)
Inequivalent atoms, fractional coordinates:
Er: 0.0000 0.0000 0.0000 (multiplicity 4)  12 Ni 2.85, 6 Si 3.04
Er: 0.2500 0.2500 0.2500 (multiplicity 8)  4 Ni 2.66
Si: 0.0000 0.0000 0.2666 (multiplicity 24)  8 Ni 2.26-2.29
Ni: 0.0000 0.1766 0.1766 (multiplicity 48)  2 Si 2.26, 1 Ni 2.37
Ni: 0.1152 0.1152 0.3848 (multiplicity 32)  3 Si 2.29